The following is a DFT calculation (PBE-GGA) of a relaxed ScPIr2 crystal.

Results
space group = I-4m2
M_tot = 0.000 μB per atom
V = 15.0 Å³ per atom
formation enthalpy at 0 K = -0.466 eV/atom

extended XYZ file:
```
4
Lattice="-1.886 1.886 4.226 1.886 -1.886 4.226 1.886 1.886 -4.226" Properties=species:S:1:pos:R:3 pbc="T T T"
P 0.000 0.000 4.226
Ir 1.886 0.000 2.113
Ir 0.000 0.000 0.000
Sc 0.000 1.886 2.113
```

The following is a DFT calculation (PBE-GGA) of a relaxed Ho2NiSb4 crystal.

Results
space group = P-4m2
M_tot = 0.000 μB per atom
V = 24.9 Å³ per atom
uncorrected formation energy = -0.72 eV/atom

extended XYZ file:
```
7
Lattice="-2.349 3.648 -0.112 -0.667 -0.298 4.279 7.634 4.963 1.536" Properties=species:S:1:pos:R:3 pbc="T T T"
Ho 0.611 2.985 0.303
Ho 5.515 3.653 3.316
Sb 5.441 6.125 1.275
Sb 0.684 0.513 2.344
Sb 3.817 2.482 0.768
Sb 2.309 4.156 2.851
Ni -1.508 1.675 2.083
```

The following is a DFT calculation (PBE-GGA) of a relaxed Pr3NpPt8 crystal.

Results
space group = R3m
M_tot = 0.348 μB per atom
V = 19.8 Å³ per atom
formation enthalpy at 0 K = -0.912 eV/atom

extended XYZ file:
```
12
Lattice="5.278 0.000 1.593 2.399 4.702 1.593 -0.005 -0.003 9.556" Properties=species:S:1:pos:R:3 pbc="T T T"
Pt 1.439 0.881 4.773
Pt 4.562 4.406 8.747
Pt 7.195 4.406 9.542
Pt 5.993 2.053 3.998
Pt 5.998 2.062 8.747
Pt 5.274 3.230 11.149
Pt 4.553 4.406 3.998
Pt 3.352 2.053 3.201
Pr 7.665 4.695 3.226
Pr 2.880 1.764 9.539
Pr 3.847 2.356 6.337
Np 6.710 4.110 6.390
```

The following is a DFT calculation (PBE-GGA) of a relaxed Mg2FeRe crystal.

Results
space group = I4/mmm
excess energy over the best structure of this formula in the dataset = 296 meV/atom
M_tot = 0.733 μB per atom
V = 15.5 Å³ per atom
formation enthalpy at 0 K = 0.422 eV/atom

extended XYZ file:
```
4
Lattice="5.038 -0.124 0.000 2.261 4.504 0.000 -3.649 -2.190 2.698" Properties=species:S:1:pos:R:3 pbc="T T T"
Mg 0.000 0.000 0.000
Mg 3.649 2.190 0.000
Fe 2.519 -0.062 1.349
Re 1.130 2.252 1.349
```

The following is a DFT calculation (PBE-GGA) of a relaxed NdTl2InS4 crystal.

Results
space group = Imma
M_tot = 0.000 μB per atom
V = 26.5 Å³ per atom
uncorrected formation energy = -0.90 eV/atom

extended XYZ file:
```
16
Lattice="8.445 -0.034 -0.132 -0.040 8.445 -0.132 -4.228 -4.231 6.079" Properties=species:S:1:pos:R:3 pbc="T T T"
Tl -0.026 -0.026 5.947
Tl 2.108 -2.133 2.973
Tl -2.114 -2.116 3.039
Tl 4.222 -0.017 -0.066
In 4.177 4.180 5.815
In 2.088 2.090 2.907
S 4.104 3.939 3.082
S 1.848 2.017 0.175
S 0.026 3.952 2.769
S 4.150 0.228 3.045
S 6.582 2.026 0.006
S -2.405 2.153 5.809
S 2.328 2.163 5.639
S 0.073 0.240 2.732
Nd 6.311 2.073 2.841
Nd -0.020 4.222 -0.066
```

The following is a DFT calculation (PBE-GGA) of a relaxed ZrOsSe2 crystal.

Results
space group = Cmmm
excess energy over the best structure of this formula in the dataset = 478 meV/atom
M_tot = 0.000 μB per atom
V = 19.9 Å³ per atom
uncorrected formation energy = -0.05 eV/atom

extended XYZ file:
```
4
Lattice="3.961 0.000 0.000 0.000 4.490 -0.013 0.000 0.297 4.481" Properties=species:S:1:pos:R:3 pbc="T T T"
Os 1.980 3.590 3.351
Se 0.000 4.659 4.347
Se 0.000 2.522 2.355
Zr 1.980 1.197 1.117
```

The following is a DFT calculation (PBE-GGA) of a relaxed Zr2TiCdN crystal.

Results
space group = P4/mmm
excess energy over the best structure of this formula in the dataset = 0 meV/atom
M_tot = 0.120 μB per atom
V = 17.3 Å³ per atom
uncorrected formation energy = -0.80 eV/atom

extended XYZ file:
```
5
Lattice="4.569 0.000 0.000 0.000 4.569 0.000 0.000 0.000 4.141" Properties=species:S:1:pos:R:3 pbc="T T T"
Cd 2.284 2.284 2.070
Zr 2.284 0.000 0.000
Zr 0.000 2.284 0.000
N 0.000 0.000 0.000
Ti 0.000 0.000 2.070
```

The following is a DFT calculation (PBE-GGA) of a relaxed ScNiAs2 crystal.

Results
space group = P4mm
M_tot = 0.000 μB per atom
V = 19.2 Å³ per atom
formation enthalpy at 0 K = -0.381 eV/atom

extended XYZ file:
```
4
Lattice="3.096 -0.004 0.000 0.004 3.096 0.000 0.000 0.000 8.015" Properties=species:S:1:pos:R:3 pbc="T T T"
As 0.000 0.000 7.565
As 1.550 1.546 2.814
Sc 1.550 1.546 5.784
Ni 0.000 0.000 3.874
```

The following is a DFT calculation (PBE-GGA) of a relaxed AcUTe2Se crystal.

Results
space group = P4/nmm
M_tot = 0.655 μB per atom
V = 32.1 Å³ per atom
uncorrected formation energy = -1.09 eV/atom

extended XYZ file:
```
10
Lattice="-1.634 -4.178 0.358 2.924 -0.860 3.311 -10.581 5.051 10.654" Properties=species:S:1:pos:R:3 pbc="T T T"
Se -4.646 0.007 7.162
Se -5.291 2.526 5.327
U -8.215 4.190 11.400
U -1.721 -1.657 1.089
Te 0.294 0.128 2.832
Te -3.808 -0.661 3.190
Te -6.128 3.194 9.299
Te -10.230 2.405 9.657
Ac -2.387 1.407 5.531
Ac -7.550 1.125 6.958
```

The following is a DFT calculation (PBE-GGA) of a relaxed MgMn2Sb crystal.

Results
space group = P4mm
M_tot = 0.147 μB per atom
V = 18.6 Å³ per atom
uncorrected formation energy = 0.17 eV/atom

extended XYZ file:
```
4
Lattice="3.103 0.000 0.000 0.000 3.103 0.000 0.000 0.000 7.713" Properties=species:S:1:pos:R:3 pbc="T T T"
Sb 0.000 0.000 3.464
Mg 1.552 1.551 6.244
Mn 1.552 1.551 1.530
Mn 0.000 0.000 0.331
```

The following is a DFT calculation (PBE-GGA) of a relaxed KScW2 crystal.

Results
space group = Immm
excess energy over the best structure of this formula in the dataset = 641 meV/atom
M_tot = 0.000 μB per atom
V = 19.8 Å³ per atom
formation enthalpy at 0 K = 1.265 eV/atom

extended XYZ file:
```
4
Lattice="6.153 0.009 -0.001 3.601 4.989 0.001 -4.382 -3.465 2.579" Properties=species:S:1:pos:R:3 pbc="T T T"
K 2.048 2.012 1.290
W 4.993 2.559 0.000
W 9.637 4.938 0.000
Sc 3.324 -0.479 1.289
```

The following is a DFT calculation (PBE-GGA) of a relaxed HfZr3As crystal.

Results
space group = Pm-3m
excess energy over the best structure of this formula in the dataset = 1060 meV/atom
M_tot = 0.260 μB per atom
V = 27.1 Å³ per atom
formation enthalpy at 0 K = 1.093 eV/atom

extended XYZ file:
```
5
Lattice="5.136 0.000 0.000 0.000 5.136 0.000 0.000 0.000 5.136" Properties=species:S:1:pos:R:3 pbc="T T T"
Hf 0.000 0.000 0.000
Zr 2.568 0.000 0.000
Zr 0.000 2.568 0.000
Zr 0.000 0.000 2.568
As 2.568 2.568 2.568
```

The following is a DFT calculation (PBE-GGA) of a relaxed Fe2AgW crystal.

Results
space group = I4/mmm
excess energy over the best structure of this formula in the dataset = 171 meV/atom
M_tot = 0.639 μB per atom
V = 13.7 Å³ per atom
formation enthalpy at 0 K = 0.470 eV/atom

extended XYZ file:
```
4
Lattice="4.509 0.001 0.004 1.077 4.378 -0.004 -2.796 -2.186 2.781" Properties=species:S:1:pos:R:3 pbc="T T T"
Fe 2.792 2.189 0.000
Fe 0.000 0.000 0.000
Ag 0.537 2.191 1.389
W 2.253 0.003 1.393
```

The following is a DFT calculation (PBE-GGA) of a relaxed Ac12Pm5Pr2 crystal.

Results
space group = C2/m
M_tot = 0.000 μB per atom
V = 42.3 Å³ per atom
formation enthalpy at 0 K = 0.170 eV/atom

extended XYZ file:
```
19
Lattice="7.544 0.000 0.000 -3.772 9.287 0.252 0.000 -3.006 11.377" Properties=species:S:1:pos:R:3 pbc="T T T"
Ac 5.589 3.284 1.469
Ac 1.817 2.997 10.161
Ac 0.000 -0.489 9.435
Ac 5.661 1.575 6.757
Ac 3.772 0.160 3.667
Ac 1.889 4.705 4.872
Ac 0.000 6.121 7.963
Ac -1.889 4.705 4.872
Ac -1.817 2.997 10.161
Ac 1.883 1.575 6.757
Ac 3.772 6.769 2.194
Ac 1.955 3.284 1.469
Pm 3.772 5.214 8.192
Pm 0.000 6.439 1.989
Pm 0.000 1.066 3.438
Pm 3.772 -0.158 9.640
Pm 0.000 -1.503 5.688
Pr 2.019 0.000 0.000
Pr 5.525 0.000 0.000
```

The following is a DFT calculation (PBE-GGA) of a relaxed Fe3ReHg crystal.

Results
space group = Pm-3m
excess energy over the best structure of this formula in the dataset = 0 meV/atom
M_tot = 1.130 μB per atom
V = 18.7 Å³ per atom
formation enthalpy at 0 K = 1.410 eV/atom

extended XYZ file:
```
5
Lattice="4.539 0.000 0.000 0.000 4.539 0.000 0.000 0.000 4.539" Properties=species:S:1:pos:R:3 pbc="T T T"
Fe 2.270 0.000 0.000
Fe 0.000 0.000 2.270
Fe 0.000 2.270 0.000
Hg 2.270 2.270 2.270
Re 0.000 0.000 0.000
```

The following is a DFT calculation (PBE-GGA) of a relaxed CaCoCl2 crystal.

Results
space group = F-43m
excess energy over the best structure of this formula in the dataset = 671 meV/atom
M_tot = 0.716 μB per atom
V = 22.4 Å³ per atom
uncorrected formation energy = -0.26 eV/atom

extended XYZ file:
```
4
Lattice="-3.325 3.394 1.634 -1.491 -0.052 4.798 1.466 3.650 3.126" Properties=species:S:1:pos:R:3 pbc="T T T"
Cl 0.000 0.000 0.000
Cl -2.513 5.244 7.169
Ca -1.675 3.496 4.779
Co -0.838 1.748 2.390
```

The following is a DFT calculation (PBE-GGA) of a relaxed VPAuCl2 crystal.

Results
space group = P4/mmm
excess energy over the best structure of this formula in the dataset = 0 meV/atom
M_tot = 0.000 μB per atom
V = 20.2 Å³ per atom
uncorrected formation energy = 0.05 eV/atom

extended XYZ file:
```
5
Lattice="-0.715 4.195 1.260 -4.249 -0.353 -1.235 -1.229 -1.619 4.693" Properties=species:S:1:pos:R:3 pbc="T T T"
Cl -2.124 -0.177 -0.618
Cl -0.358 2.098 0.630
V 0.000 0.000 0.000
Au -3.097 1.111 2.359
P -0.615 -0.810 2.346
```

The following is a DFT calculation (PBE-GGA) of a relaxed RbSi3Bi crystal.

Results
space group = Pm-3m
excess energy over the best structure of this formula in the dataset = 972 meV/atom
M_tot = 0.078 μB per atom
V = 32.8 Å³ per atom
uncorrected formation energy = 2.07 eV/atom

extended XYZ file:
```
5
Lattice="5.471 0.000 0.000 0.000 5.471 0.000 0.000 0.000 5.471" Properties=species:S:1:pos:R:3 pbc="T T T"
Si 0.000 2.736 0.000
Si 2.736 0.000 0.000
Si 0.000 0.000 2.736
Bi 2.736 2.736 2.736
Rb 0.000 0.000 0.000
```

The following is a DFT calculation (PBE-GGA) of a relaxed TiTlNi3 crystal.

Results
space group = Pm-3m
excess energy over the best structure of this formula in the dataset = 0 meV/atom
M_tot = 0.000 μB per atom
V = 17.7 Å³ per atom
formation enthalpy at 0 K = 0.811 eV/atom

extended XYZ file:
```
5
Lattice="4.456 0.000 0.000 0.000 4.456 0.000 0.000 0.000 4.456" Properties=species:S:1:pos:R:3 pbc="T T T"
Tl 2.228 2.228 2.228
Ni 0.000 2.228 0.000
Ni 2.228 0.000 0.000
Ni 0.000 0.000 2.228
Ti 0.000 0.000 0.000
```

The following is a DFT calculation (PBE-GGA) of a relaxed NiHgIr2 crystal.

Results
space group = Cmm2
M_tot = 0.000 μB per atom
V = 15.6 Å³ per atom
formation enthalpy at 0 K = 0.443 eV/atom

extended XYZ file:
```
4
Lattice="-2.204 1.679 -0.310 -0.246 -2.420 1.363 2.138 4.280 7.984" Properties=species:S:1:pos:R:3 pbc="T T T"
Ni 1.039 2.080 3.880
Ir 0.035 0.069 0.129
Ir -0.669 0.742 2.600
Hg 0.354 2.789 6.420
```